Compound: Ba2NiMoO6
Source: the Alexandria database
Functional: SCAN
Structure: single point on PBEsol structure

Unit cell a=5.6550 b=5.6550 c=5.6550 alpha=60.00 beta=60.00 gamma=60.00
With the nearest neighbours (Å) after each atom.
Element x y z (fractional)
Ba (0.2500, 0.2500, 0.2500)  12 O 2.83
Ba (0.7500, 0.7500, 0.7500)  12 O 2.83
Ni (0.0000, 0.0000, 0.0000)  6 O 2.07
Mo (0.5000, 0.5000, 0.5000)  6 O 1.93
O (0.2590, 0.2590, 0.7410)  1 Mo 1.93, 1 Ni 2.07
O (0.2590, 0.7410, 0.2590)  1 Mo 1.93, 1 Ni 2.07
O (0.2590, 0.7410, 0.7410)  1 Mo 1.93, 1 Ni 2.07
O (0.7410, 0.2590, 0.2590)  1 Mo 1.93, 1 Ni 2.07
O (0.7410, 0.2590, 0.7410)  1 Mo 1.93, 1 Ni 2.07
O (0.7410, 0.7410, 0.2590)  1 Mo 1.93, 1 Ni 2.07

Values from the calculation:
The value obtained for the magnetic moment is 1.99 Bohr magnetons per cell. The space group is Fm-3m (225). The value obtained for the density of states at the Fermi level is 0.00 states/eV/f.u.



Compound: BaMo3O10
Source: the Alexandria database
Functional: SCAN
Structure: single point on PBEsol structure

Unit cell a=7.0664 b=7.5561 c=15.0168 alpha=90.00 beta=106.43 gamma=90.00
With the nearest neighbours (Å) after each atom.
Element x y z (fractional)
Ba (0.1735, 0.1306, 0.3170)  7 O 2.63-2.91
Ba (0.1735, 0.3694, 0.8171)  7 O 2.63-2.91
Ba (0.8265, 0.6306, 0.1830)  7 O 2.63-2.91
Ba (0.8265, 0.8694, 0.6829)  7 O 2.63-2.91
Mo (0.2831, 0.1387, 0.6029)  2 O 1.70-1.73
Mo (0.2831, 0.3613, 0.1029)  2 O 1.70-1.73
Mo (0.3337, 0.6486, 0.6355)  3 O 1.73-1.83
Mo (0.3337, 0.8514, 0.1355)  3 O 1.73-1.83
Mo (0.3502, 0.6282, 0.4160)  3 O 1.71-1.86
Mo (0.3502, 0.8718, 0.9160)  3 O 1.71-1.86
Mo (0.6498, 0.1282, 0.0840)  3 O 1.71-1.86
Mo (0.6498, 0.3718, 0.5840)  3 O 1.71-1.86
Mo (0.6663, 0.1486, 0.8645)  3 O 1.73-1.83
Mo (0.6663, 0.3514, 0.3645)  3 O 1.73-1.83
Mo (0.7169, 0.6387, 0.8971)  2 O 1.70-1.73
Mo (0.7169, 0.8613, 0.3971)  2 O 1.70-1.73
O (0.1033, 0.1492, 0.6608)  1 Mo 1.73
O (0.1033, 0.3508, 0.1608)  1 Mo 1.73
O (0.1189, 0.6102, 0.6657)  1 Mo 1.73
O (0.1189, 0.8898, 0.1657)  1 Mo 1.73
O (0.1502, 0.1308, 0.4891)  1 Mo 1.70
O (0.1502, 0.3692, 0.9891)  1 Mo 1.70
O (0.1888, 0.6099, 0.3078)  1 Mo 1.71
O (0.1888, 0.8901, 0.8078)  1 Mo 1.71
O (0.1974, 0.6378, 0.4923)  1 Mo 1.78
O (0.1974, 0.8622, 0.9923)  1 Mo 1.78
O (0.3412, 0.6112, 0.1209)  2 Mo 1.83-1.93
O (0.3412, 0.8888, 0.6209)  2 Mo 1.83-1.93
O (0.3683, 0.1186, 0.1156)  2 Mo 1.92-2.07
O (0.3683, 0.3814, 0.6156)  2 Mo 1.92-2.07
O (0.4313, 0.6388, 0.9133)  1 Mo 1.86
O (0.4313, 0.8612, 0.4133)  1 Mo 1.86
O (0.4330, 0.1146, 0.9306)  1 Mo 1.92
O (0.4330, 0.3854, 0.4306)  1 Mo 1.92
O (0.4862, 0.1390, 0.7571)  1 Mo 1.75
O (0.4862, 0.3610, 0.2571)  1 Mo 1.75
O (0.5138, 0.6390, 0.7429)  1 Mo 1.75
O (0.5138, 0.8610, 0.2429)  1 Mo 1.75
O (0.5670, 0.6146, 0.5694)  1 Mo 1.92
O (0.5670, 0.8854, 0.0694)  1 Mo 1.92
O (0.5687, 0.1388, 0.5867)  1 Mo 1.86
O (0.5687, 0.3612, 0.0867)  1 Mo 1.86
O (0.6317, 0.6186, 0.3844)  2 Mo 1.92-2.07
O (0.6317, 0.8814, 0.8844)  2 Mo 1.92-2.07
O (0.6588, 0.1112, 0.3791)  2 Mo 1.83-1.93
O (0.6588, 0.3888, 0.8791)  2 Mo 1.83-1.93
O (0.8026, 0.1378, 0.0077)  1 Mo 1.78
O (0.8026, 0.3622, 0.5077)  1 Mo 1.78
O (0.8112, 0.1099, 0.1922)  1 Mo 1.71
O (0.8112, 0.3901, 0.6922)  1 Mo 1.71
O (0.8498, 0.6308, 0.0109)  1 Mo 1.70
O (0.8498, 0.8692, 0.5109)  1 Mo 1.70
O (0.8811, 0.1102, 0.8343)  1 Mo 1.73
O (0.8811, 0.3898, 0.3343)  1 Mo 1.73
O (0.8967, 0.6492, 0.8392)  1 Mo 1.73
O (0.8967, 0.8508, 0.3392)  1 Mo 1.73

Values from the calculation:
The value obtained for the magnetic moment is 0.00 Bohr magnetons per cell. The space group is P2_1/c (14). The value obtained for the density of states at the Fermi level is 0.00 states/eV/f.u.



Compound: BaMo2P3O14
Source: the Alexandria database
Functional: SCAN
Structure: single point on PBEsol structure

Unit cell a=8.1541 b=8.1541 c=8.6671 alpha=97.61 beta=97.61 gamma=72.89
With the nearest neighbours (Å) after each atom.
Element x y z (fractional)
Ba (0.0420, 0.9580, 0.5000)  5 O 2.63-2.87
Ba (0.9580, 0.0420, 0.0000)  5 O 2.63-2.87
Mo (0.1958, 0.4965, 0.1703)  2 O 1.69-1.84
Mo (0.4858, 0.8199, 0.8431)  2 O 1.69-1.85
Mo (0.4965, 0.1958, 0.6703)  2 O 1.69-1.84
Mo (0.8199, 0.4858, 0.3431)  2 O 1.69-1.85
P (0.1058, 0.3381, 0.8076)  4 O 1.51-1.60
P (0.3381, 0.1058, 0.3076)  4 O 1.51-1.60
P (0.4391, 0.5770, 0.5031)  4 O 1.53-1.55
P (0.5770, 0.4391, 0.0031)  4 O 1.53-1.55
P (0.6802, 0.8898, 0.1947)  4 O 1.51-1.60
P (0.8898, 0.6802, 0.6947)  4 O 1.51-1.60
O (0.0313, 0.4447, 0.2666)  2 Mo 1.84-1.85
O (0.0477, 0.1794, 0.7494)  1 P 1.51
O (0.0783, 0.6894, 0.1109)  1 Mo 1.69
O (0.1303, 0.3457, 0.9890)  1 P 1.55
O (0.1794, 0.0477, 0.2494)  1 P 1.51
O (0.2594, 0.3617, 0.7412)  1 P 1.52
O (0.2791, 0.6021, 0.3809)  1 P 1.55
O (0.3048, 0.8636, 0.9335)  1 Mo 1.69
O (0.3457, 0.1303, 0.4890)  1 P 1.55
O (0.3617, 0.2594, 0.2412)  1 P 1.52
O (0.3834, 0.7258, 0.6335)  1 P 1.55
O (0.4036, 0.4911, 0.0720)  1 P 1.53
O (0.4447, 0.0313, 0.7666)  2 Mo 1.84-1.85
O (0.4911, 0.4036, 0.5720)  1 P 1.53
O (0.5035, 0.9467, 0.2740)  2 P 1.60
O (0.5890, 0.5913, 0.4209)  1 P 1.53
O (0.5913, 0.5890, 0.9209)  1 P 1.53
O (0.6021, 0.2791, 0.8809)  1 P 1.55
O (0.6336, 0.9094, 0.0171)  1 P 1.55
O (0.6894, 0.0783, 0.6109)  1 Mo 1.69
O (0.7020, 0.7512, 0.7245)  1 P 1.51
O (0.7258, 0.3834, 0.1335)  1 P 1.55
O (0.7512, 0.7020, 0.2245)  1 P 1.51
O (0.7996, 0.9985, 0.2572)  1 P 1.51
O (0.8636, 0.3048, 0.4335)  1 Mo 1.69
O (0.9094, 0.6336, 0.5171)  1 P 1.55
O (0.9467, 0.5035, 0.7740)  2 P 1.60
O (0.9985, 0.7996, 0.7572)  1 P 1.51

Values from the calculation:
The value obtained for the magnetic moment is 2.00 Bohr magnetons per cell. The space group is Cc (9).



Compound: BaMo2P3O12
Source: the Alexandria database
Functional: SCAN
Structure: single point on PBEsol structure

Unit cell a=9.3441 b=9.3441 c=9.3441 alpha=54.79 beta=54.79 gamma=54.79
With the nearest neighbours (Å) after each atom.
Element x y z (fractional)
Ba (0.0000, 0.0000, 0.0000)  6 O 2.74
Ba (0.5000, 0.5000, 0.5000)  6 O 2.74
Mo (0.1498, 0.1498, 0.1498)  6 O 2.02-2.05
Mo (0.3502, 0.3502, 0.3502)  6 O 2.02-2.05
Mo (0.6498, 0.6498, 0.6498)  6 O 2.02-2.05
Mo (0.8502, 0.8502, 0.8502)  6 O 2.02-2.05
P (0.0344, 0.7500, 0.4656)  4 O 1.54-1.55
P (0.2500, 0.5344, 0.9656)  4 O 1.54-1.55
P (0.4656, 0.0344, 0.7500)  4 O 1.54
P (0.5344, 0.9656, 0.2500)  4 O 1.54-1.55
P (0.7500, 0.4656, 0.0344)  4 O 1.54-1.55
P (0.9656, 0.2500, 0.5344)  4 O 1.54
O (0.0169, 0.7539, 0.6373)  1 P 1.54
O (0.0671, 0.9265, 0.2900)  1 P 1.55
O (0.0735, 0.7100, 0.9329)  1 P 1.54
O (0.1373, 0.2539, 0.5169)  1 P 1.54
O (0.2100, 0.5735, 0.4329)  1 P 1.55
O (0.2461, 0.3627, 0.9831)  1 P 1.54
O (0.2539, 0.5169, 0.1373)  1 P 1.54
O (0.2900, 0.0671, 0.9265)  1 P 1.54
O (0.3627, 0.9831, 0.2461)  1 P 1.54
O (0.4265, 0.5671, 0.7900)  1 P 1.55
O (0.4329, 0.2100, 0.5735)  1 P 1.54
O (0.4831, 0.8627, 0.7461)  1 P 1.54
O (0.5169, 0.1373, 0.2539)  1 P 1.54
O (0.5671, 0.7900, 0.4265)  1 P 1.55
O (0.5735, 0.4329, 0.2100)  1 P 1.54
O (0.6373, 0.0169, 0.7539)  1 P 1.54
O (0.7100, 0.9329, 0.0735)  1 P 1.55
O (0.7461, 0.4831, 0.8627)  1 P 1.54
O (0.7539, 0.6373, 0.0169)  1 P 1.54
O (0.7900, 0.4265, 0.5671)  1 P 1.54
O (0.8627, 0.7461, 0.4831)  1 P 1.54
O (0.9265, 0.2900, 0.0671)  1 P 1.55
O (0.9329, 0.0735, 0.7100)  1 P 1.54
O (0.9831, 0.2461, 0.3627)  1 P 1.54

Values from the calculation:
The value obtained for the magnetic moment is 10.00 Bohr magnetons per cell. The space group is R-3c (167). The value obtained for the density of states at the Fermi level is 7.39 states/eV/f.u.



Compound: BaMo2P2O12
Source: the Alexandria database
Functional: SCAN
Structure: single point on PBEsol structure

Unit cell a=6.3948 b=7.1443 c=10.0622 alpha=90.00 beta=94.72 gamma=90.00
With the nearest neighbours (Å) after each atom.
Element x y z (fractional)
Ba (0.0000, 0.0000, 0.0000)  8 O 2.67-2.90
Ba (0.0000, 0.5000, 0.5000)  8 O 2.67-2.90
Mo (0.2688, 0.0336, 0.6727)  2 O 1.70-1.71
Mo (0.2688, 0.4664, 0.1727)  2 O 1.70-1.71
Mo (0.7312, 0.5336, 0.8273)  2 O 1.70-1.71
Mo (0.7312, 0.9664, 0.3273)  2 O 1.70-1.71
P (0.2371, 0.0555, 0.3445)  4 O 1.53-1.56
P (0.2371, 0.4445, 0.8445)  4 O 1.53-1.56
P (0.7629, 0.5555, 0.1555)  4 O 1.53-1.56
P (0.7629, 0.9445, 0.6555)  4 O 1.53-1.56
O (0.0458, 0.5778, 0.8188)  1 P 1.55
O (0.0458, 0.9222, 0.3188)  1 P 1.55
O (0.2218, 0.1675, 0.4734)  1 P 1.53
O (0.2218, 0.3325, 0.9734)  1 P 1.53
O (0.2258, 0.6798, 0.0993)  1 Mo 1.71
O (0.2258, 0.8202, 0.5993)  1 Mo 1.71
O (0.2479, 0.1777, 0.2189)  1 P 1.54
O (0.2479, 0.3223, 0.7189)  1 P 1.54
O (0.3087, 0.5235, 0.3369)  1 Mo 1.70
O (0.3087, 0.9765, 0.8369)  1 Mo 1.70
O (0.4372, 0.5698, 0.8567)  1 P 1.56
O (0.4372, 0.9302, 0.3567)  1 P 1.56
O (0.5628, 0.0698, 0.6433)  1 P 1.56
O (0.5628, 0.4302, 0.1433)  1 P 1.56
O (0.6913, 0.0235, 0.1631)  1 Mo 1.70
O (0.6913, 0.4765, 0.6631)  1 Mo 1.70
O (0.7521, 0.6777, 0.2811)  1 P 1.54
O (0.7521, 0.8223, 0.7811)  1 P 1.54
O (0.7742, 0.1798, 0.4007)  1 Mo 1.71
O (0.7742, 0.3202, 0.9007)  1 Mo 1.71
O (0.7782, 0.6675, 0.0266)  1 P 1.53
O (0.7782, 0.8325, 0.5266)  1 P 1.53
O (0.9542, 0.0778, 0.6812)  1 P 1.55
O (0.9542, 0.4222, 0.1812)  1 P 1.55

Values from the calculation:
The value obtained for the magnetic moment is 0.00 Bohr magnetons per cell. The space group is P2_1/c (14). The value obtained for the density of states at the Fermi level is 0.00 states/eV/f.u.



Compound: BaMo2Se2O11
Source: the Alexandria database
Functional: SCAN
Structure: single point on PBEsol structure

Unit cell a=8.8817 b=8.8817 c=7.8050 alpha=90.00 beta=90.00 gamma=52.95
With the nearest neighbours (Å) after each atom.
Element x y z (fractional)
Ba (0.2271, 0.7729, 0.5000)  8 O 2.71-2.87
Ba (0.7729, 0.2271, 0.0000)  8 O 2.71-2.87
Mo (0.1578, 0.6271, 0.9875)  2 O 1.71-1.72
Mo (0.3729, 0.8422, 0.9875)  2 O 1.71-1.72
Mo (0.6271, 0.1578, 0.4875)  2 O 1.71-1.72
Mo (0.8422, 0.3729, 0.4875)  2 O 1.71-1.72
Se (0.1256, 0.2913, 0.1393)  3 O 1.72-1.75
Se (0.2913, 0.1256, 0.6393)  3 O 1.72-1.75
Se (0.7087, 0.8744, 0.1393)  3 O 1.72-1.75
Se (0.8744, 0.7087, 0.6393)  3 O 1.72-1.75
O (0.0441, 0.4885, 0.0116)  1 Se 1.75
O (0.0887, 0.6310, 0.7245)  1 Se 1.72
O (0.1359, 0.1493, 0.9829)  1 Se 1.72
O (0.1493, 0.1359, 0.4829)  1 Se 1.72
O (0.1512, 0.6738, 0.2018)  1 Mo 1.72
O (0.1840, 0.8160, 0.9078)  2 Mo 1.93
O (0.3262, 0.8488, 0.2018)  1 Mo 1.72
O (0.3690, 0.9113, 0.7245)  1 Se 1.72
O (0.3865, 0.4325, 0.9595)  1 Mo 1.71
O (0.4325, 0.3865, 0.4595)  1 Mo 1.71
O (0.4885, 0.0441, 0.5116)  1 Se 1.75
O (0.5115, 0.9559, 0.0116)  1 Se 1.75
O (0.5675, 0.6135, 0.9595)  1 Mo 1.71
O (0.6135, 0.5675, 0.4595)  1 Mo 1.71
O (0.6310, 0.0887, 0.2245)  1 Se 1.72
O (0.6738, 0.1512, 0.7018)  1 Mo 1.72
O (0.8160, 0.1840, 0.4078)  2 Mo 1.93
O (0.8488, 0.3262, 0.7018)  1 Mo 1.72
O (0.8507, 0.8641, 0.9829)  1 Se 1.72
O (0.8641, 0.8507, 0.4829)  1 Se 1.72
O (0.9113, 0.3690, 0.2245)  1 Se 1.72
O (0.9559, 0.5115, 0.5116)  1 Se 1.75

Values from the calculation:
The value obtained for the magnetic moment is 0.00 Bohr magnetons per cell. The space group is Cmc2_1 (36). The value obtained for the density of states at the Fermi level is 0.00 states/eV/f.u.



Number 1: E_form (uncorrected) -2.520 eV/atom, V 12.8 A^3/atom. Number 2: E_form (uncorrected) -2.363 eV/atom, V 13.7 A^3/atom. Number 3: E_form (uncorrected) -2.496 eV/atom, V 13.6 A^3/atom. Number 4: E_form (uncorrected) -2.479 eV/atom, V 14.1 A^3/atom. Number 5: E_form (uncorrected) -2.491 eV/atom, V 13.5 A^3/atom. Number 6: E_form (uncorrected) -1.867 eV/atom, V 15.4 A^3/atom.